Entry from the Alexandria database: crystalline Cs2RhWCl6 at its relaxed geometry (PBE).

The value obtained for the density is 4.67 g/cm³. The calculation puts the uncorrected formation energy at -0.950 eV per atom. The final energy is -4.2596 eV/atom.

It has space group Fm-3m (No. 225), with a = 10.2866 Å, b = 10.2866 Å, c = 10.2866 Å, α = 90.00°, β = 90.00° and γ = 90.00°. The inequivalent atoms are Cs at (0.2500, 0.2500, 0.2500), Rh at (0.0000, 0.0000, 0.0000), W at (0.0000, 0.0000, 0.5000) and Cl at (0.0000, 0.0000, 0.2586).

---

Entry from the Alexandria database: crystalline Cs2YRhCl6 at its relaxed geometry (PBE).

The value obtained for the density is 3.72 g/cm³. The calculation puts the uncorrected formation energy at -1.659 eV per atom. The final energy is -4.3189 eV/atom.

It has space group Fm-3m (No. 225), with a = 10.6168 Å, b = 10.6168 Å, c = 10.6168 Å, α = 90.00°, β = 90.00° and γ = 90.00°. The inequivalent atoms are Cs at (0.2500, 0.2500, 0.2500), Y at (0.0000, 0.0000, 0.0000), Rh at (0.0000, 0.0000, 0.5000) and Cl at (0.0000, 0.0000, 0.2498).

---

Entry from the Alexandria database: crystalline CsZnRhCl6 at its relaxed geometry (PBE).

The value obtained for the density is 3.11 g/cm³. The calculation puts the uncorrected formation energy at -1.099 eV per atom. The final energy is -3.3829 eV/atom.

It has space group P312 (No. 149), with a = 6.3444 Å, b = 6.3444 Å, c = 7.8816 Å, α = 90.00°, β = 90.00° and γ = 120.00°. The inequivalent atoms are Cs at (0.0000, 0.0000, 0.0000), Zn at (0.6667, 0.3333, 0.5000), Rh at (0.3333, 0.6667, 0.5000) and Cl at (0.0149, 0.3740, 0.6716).